No. 1
# Sc3BiB

A geometry-optimized Sc3BiB structure (PBE-GGA, the Alexandria database).

Structure (POSCAR):
```
Sc3BiB
1.0
3.5086 0.0000 -0.5141
0.0000 7.6684 0.0000
-2.3669 0.0000 8.3034
Sc B Bi
6 2 2
Cartesian
1.0316 3.3174 0.9251
0.1100 4.3510 6.8642
1.0316 0.5168 0.9251
0.1100 7.1516 6.8642
1.7290 1.9171 5.6831
-0.5874 5.7513 2.1062
0.2111 1.9171 7.5538
0.9305 5.7513 0.2355
-0.4003 1.9171 3.3808
1.5419 5.7513 4.4085
```

Values from the calculation:
- ΔE to the lowest computed polymorph (kcal/mol of atoms) = 7.40
- energy relative to the elements (eV/atom) = -0.2453
- calculated total energy (eV per formula unit) = -30.8



No. 2
# MgInGaHg

A geometry-optimized MgInGaHg structure (PBE-GGA, the Alexandria database).

Structure (POSCAR):
```
MgInGaHg
1.0
-3.9791 2.9403 0.9292
-4.6563 -1.7419 -0.7913
-3.0111 -1.0006 3.9082
Mg Hg Ga In
1 1 1 1
Cartesian
0.0000 0.0000 0.0000
-2.9116 0.0494 1.0115
-8.7348 0.1483 3.0345
-5.8232 0.0989 2.0230
```

Values from the calculation:
- ΔE to the lowest computed polymorph (kcal/mol of atoms) = 1.11
- energy relative to the elements (eV/atom) = -0.0136
- calculated total energy (eV per formula unit) = -7.7



No. 3
# Pm3Cu8Ni

A geometry-optimized Pm3Cu8Ni structure (PBE-GGA, the Alexandria database).

Structure (POSCAR):
```
Pm3Cu8Ni
1.0
-2.5492 3.0437 3.2811
-5.0193 -0.7723 0.8594
-0.5926 -4.5945 7.8442
Pm Cu Ni
3 8 1
Cartesian
-3.3915 -3.0720 8.2998
-7.4918 2.0589 4.3972
-4.1386 -1.0006 5.7980
-4.6874 1.6569 4.9810
-6.2514 -2.4752 7.5670
-3.3791 0.0949 3.2971
-7.5125 -0.9695 9.1902
-1.6853 -1.5650 4.1850
-5.7555 -2.7552 10.2119
-5.9550 -0.3015 3.7381
-5.0295 -0.5874 8.7651
-6.7854 0.1004 6.7628
```

Values from the calculation:
- energy relative to the elements (eV/atom) = -0.0951
- calculated total energy (eV per formula unit) = -53.9



No. 4
# Li17Ac2

A geometry-optimized Li17Ac2 structure (PBE-GGA, the Alexandria database).

Structure (POSCAR):
```
Li17Ac2
1.0
0.0022 3.3357 6.8871
3.0468 -5.9361 3.7468
7.2292 2.4871 -0.3342
Li Ac
17 2
Cartesian
2.9784 -1.3679 6.9266
6.7376 -1.8094 3.1704
9.2728 -0.1022 9.2921
1.0055 -0.0111 1.0076
3.6146 1.2435 -0.1671
1.5234 -2.9680 1.8734
0.0011 1.6679 3.4435
2.1604 -3.2365 4.6612
2.1064 3.0886 4.7845
6.0115 0.0346 0.8540
0.8887 0.6362 5.9728
5.1250 2.7342 1.7683
4.2646 -3.4836 2.5586
3.5407 1.6961 7.1293
7.2999 1.2546 3.3731
5.1244 -3.1267 5.4959
5.1539 3.0134 4.8038
3.7034 -0.0408 3.7111
6.5749 -0.0725 6.5886
```

Values from the calculation:
- energy relative to the elements (eV/atom) = 0.0547
- calculated total energy (eV per formula unit) = -39.7



No. 5
# Zr3CdH

A geometry-optimized Zr3CdH structure (PBE-GGA, the Alexandria database).

Structure (POSCAR):
```
Zr3CdH
1.0
-3.2374 -1.0345 4.5582
3.4922 3.1268 3.2181
-3.0912 4.6402 -1.1142
H Zr Cd
2 6 2
Cartesian
-0.7091 1.6831 1.6655
-2.1273 5.0493 4.9965
0.9613 2.7160 1.3329
-0.7454 0.2745 3.0735
-2.3432 2.0588 0.5901
-0.4932 4.6736 6.0719
-2.0910 6.4579 3.5885
-3.7977 4.0164 5.3292
0.0000 0.0000 0.0000
-1.4182 3.3662 3.3310
```

Values from the calculation:
- ΔE to the lowest computed polymorph (kcal/mol of atoms) = 2.09
- calculated total energy (eV per formula unit) = -30.7



No. 6
# YBeAg2Pd

A geometry-optimized YBeAg2Pd structure (PBE-GGA, the Alexandria database).

Structure (POSCAR):
```
YBeAg2Pd
1.0
4.5156 0.0000 0.0000
0.0000 4.5156 0.0000
0.0000 0.0000 4.4953
Y Be Pd Ag
1 1 1 2
Cartesian
2.2578 2.2578 2.2477
0.0000 0.0000 0.0000
0.0000 0.0000 2.2477
0.0000 2.2578 0.0000
2.2578 0.0000 0.0000
```

Values from the calculation:
- energy relative to the elements (eV/atom) = -0.2095
- calculated total energy (eV per formula unit) = -22.1



No. 7
# La2YMn

A geometry-optimized La2YMn structure (PBE-GGA, the Alexandria database).

Structure (POSCAR):
```
La2YMn
1.0
1.1175 -2.8869 4.3344
-0.7524 2.0739 4.8480
-3.9468 -1.8072 3.0865
Y Mn La
1 1 2
Cartesian
-1.7909 -1.3101 6.1344
0.0000 0.0000 0.0000
-0.8954 -0.6551 3.0672
-2.6863 -1.9652 9.2016
```

Values from the calculation:
- ΔE to the lowest computed polymorph (kcal/mol of atoms) = 9.58
- energy relative to the elements (eV/atom) = 0.5700
- calculated total energy (eV per formula unit) = -23.2



No. 8
# CePdS

A geometry-optimized CePdS structure (PBE-GGA, the Alexandria database).

Structure (POSCAR):
```
CePdS
1.0
3.8693 0.0000 0.0000
0.0000 3.8693 0.0000
0.0000 0.0000 8.3054
Pd Ce S
2 2 2
Cartesian
0.0000 1.9346 4.6317
1.9346 0.0000 3.6738
0.0000 1.9346 1.7922
1.9346 0.0000 6.5132
1.9346 0.0000 1.1551
0.0000 1.9346 7.1504
```

Values from the calculation:
- raw formation energy (meV per atom) = -1361
- calculated total energy (eV per formula unit) = -19.3